--- A ---
This record from Alexandria via LeMat-Bulk describes a geometry-optimized BAsS2 structure. The functional is PBE.

Unit cell a=4.401 b=4.401 c=4.401 alpha=60.00 beta=60.00 gamma=60.00
Positions (direct):
B: 0.000 0.000 0.000
As: 0.500 0.500 0.500
S: 0.250 0.250 0.250
S: 0.750 0.750 0.750

Calculated values
The value obtained for the volume is 60.27 Å³ per cell. The calculation puts the spin magnetization at 0.00 μB/f.u.

--- B ---
This record from Alexandria via LeMat-Bulk describes a geometry-optimized BAsS2 structure. The functional is PBE.

Unit cell a=7.643 b=7.643 c=7.643 alpha=23.52 beta=23.52 gamma=23.52
Positions (direct):
B: 0.000 0.000 0.000
As: 0.500 0.500 0.500
S: 0.386 0.386 0.386
S: 0.614 0.614 0.614

Calculated values
The value obtained for the volume is 62.45 Å³ per cell. The calculation puts the spin magnetization at 0.00 μB/f.u.

It is B that is most stable; the runner-up trails by 0.881 eV/atom.

--- A ---
This record from Alexandria via LeMat-Bulk describes a geometry-optimized BAsSe2S structure. The functional is PBE.

Unit cell a=4.864 b=4.864 c=4.811 alpha=90.00 beta=90.00 gamma=90.00
Positions (direct):
B: 0.000 0.000 0.000
As: 0.500 0.500 0.000
Se: 0.000 0.500 0.500
Se: 0.500 0.000 0.500
S: 0.500 0.500 0.500

Calculated values
The value obtained for the volume is 113.80 Å³ per cell. The calculation puts the spin magnetization at 0.58 μB/f.u.

--- B ---
This record from Alexandria via LeMat-Bulk describes a geometry-optimized BAsSe2S structure. The functional is PBE.

Unit cell a=4.337 b=4.337 c=4.700 alpha=90.00 beta=90.00 gamma=90.00
Positions (direct):
B: 0.000 0.000 0.000
As: 0.000 0.000 0.500
Se: 0.000 0.500 0.000
Se: 0.500 0.000 0.000
S: 0.500 0.500 0.500

Calculated values
The value obtained for the volume is 88.40 Å³ per cell. The calculation puts the spin magnetization at 0.00 μB/f.u.

It is B that is most stable; the runner-up trails by 0.551 eV/atom.

--- A ---
This record from Alexandria via LeMat-Bulk describes a geometry-optimized BAs2SeS structure. The functional is PBE.

Unit cell a=4.499 b=4.499 c=4.310 alpha=90.00 beta=90.00 gamma=90.00
Positions (direct):
B: 0.000 0.000 0.000
As: 0.000 0.500 0.000
As: 0.500 0.000 0.000
Se: 0.000 0.000 0.500
S: 0.500 0.500 0.500

Calculated values
The value obtained for the volume is 87.23 Å³ per cell. The calculation puts the spin magnetization at 0.00 μB/f.u.

--- B ---
This record from Alexandria via LeMat-Bulk describes a geometry-optimized BAs2SeS structure. The functional is PBE.

Unit cell a=4.813 b=4.813 c=4.832 alpha=90.00 beta=90.00 gamma=90.00
Positions (direct):
B: 0.000 0.000 0.000
As: 0.000 0.500 0.500
As: 0.500 0.000 0.500
Se: 0.500 0.500 0.000
S: 0.500 0.500 0.500

Calculated values
The value obtained for the volume is 111.91 Å³ per cell. The calculation puts the spin magnetization at 0.00 μB/f.u.

It is A that is most stable; the runner-up trails by 0.641 eV/atom.

--- A ---
This record from Alexandria via LeMat-Bulk describes a geometry-optimized B2SbAs structure. The functional is PBE.

Unit cell a=6.170 b=6.170 c=6.170 alpha=131.62 beta=131.62 gamma=70.84
Positions (direct):
B: 0.095 0.625 0.970
B: 0.375 0.345 0.470
B: 0.655 0.125 0.030
B: 0.875 0.905 0.530
Sb: 0.250 0.750 0.500
Sb: 0.500 0.500 0.000
As: 0.000 0.000 0.000
As: 0.750 0.250 0.500

Calculated values
The value obtained for the volume is 128.56 Å³ per cell. The calculation puts the spin magnetization at 0.00 μB/f.u.

--- B ---
This record from Alexandria via LeMat-Bulk describes a geometry-optimized B2SbAs structure. The functional is PBE.

Unit cell a=4.346 b=4.346 c=4.346 alpha=60.00 beta=60.00 gamma=60.00
Positions (direct):
B: 0.250 0.250 0.250
B: 0.750 0.750 0.750
Sb: 0.000 0.000 0.000
As: 0.500 0.500 0.500

Calculated values
The value obtained for the volume is 58.06 Å³ per cell. The calculation puts the spin magnetization at 0.00 μB/f.u.

It is A that is most stable; the runner-up trails by 1.343 eV/atom.

--- A ---
This record from Alexandria via LeMat-Bulk describes a geometry-optimized BSb2As structure. The functional is PBE.

Unit cell a=4.842 b=4.842 c=4.842 alpha=60.00 beta=60.00 gamma=60.00
Positions (direct):
B: 0.000 0.000 0.000
Sb: 0.250 0.250 0.250
Sb: 0.750 0.750 0.750
As: 0.500 0.500 0.500

Calculated values
The value obtained for the volume is 80.27 Å³ per cell. The calculation puts the spin magnetization at 0.00 μB/f.u.

--- B ---
This record from Alexandria via LeMat-Bulk describes a geometry-optimized BSb2As structure. The functional is PBE.

Unit cell a=6.641 b=6.641 c=6.641 alpha=123.82 beta=123.82 gamma=83.50
Positions (direct):
B: 0.000 0.000 0.000
B: 0.750 0.250 0.500
Sb: 0.057 0.625 0.932
Sb: 0.375 0.307 0.432
Sb: 0.693 0.125 0.068
Sb: 0.875 0.943 0.568
As: 0.250 0.750 0.500
As: 0.500 0.500 0.000

Calculated values
The value obtained for the volume is 193.79 Å³ per cell. The calculation puts the spin magnetization at 0.00 μB/f.u.

It is B that is most stable; the runner-up trails by 0.538 eV/atom.

--- A ---
This record from Alexandria via LeMat-Bulk describes a geometry-optimized BSbTe2As structure. The functional is PBE.

Unit cell a=5.554 b=5.554 c=5.216 alpha=90.00 beta=90.00 gamma=90.00
Positions (direct):
B: 0.000 0.000 0.000
Sb: 0.500 0.500 0.000
Te: 0.000 0.500 0.500
Te: 0.500 0.000 0.500
As: 0.500 0.500 0.500

Calculated values
The value obtained for the volume is 160.92 Å³ per cell. The calculation puts the spin magnetization at 0.00 μB/f.u.

--- B ---
This record from Alexandria via LeMat-Bulk describes a geometry-optimized BSbTe2As structure. The functional is PBE.

Unit cell a=5.804 b=5.804 c=5.268 alpha=90.00 beta=90.00 gamma=90.00
Positions (direct):
B: 0.000 0.000 0.000
Sb: 0.500 0.500 0.500
Te: 0.000 0.500 0.500
Te: 0.500 0.000 0.500
As: 0.500 0.500 0.000

Calculated values
The value obtained for the volume is 177.48 Å³ per cell. The calculation puts the spin magnetization at 1.03 μB/f.u.

It is A that is most stable; the runner-up trails by 0.137 eV/atom.

--- A ---
This record from Alexandria via LeMat-Bulk describes a geometry-optimized BSb2TeAs structure. The functional is PBE.

Unit cell a=5.313 b=5.313 c=5.566 alpha=90.00 beta=90.00 gamma=90.00
Positions (direct):
B: 0.000 0.000 0.000
Sb: 0.000 0.500 0.500
Sb: 0.500 0.000 0.500
Te: 0.500 0.500 0.000
As: 0.500 0.500 0.500

Calculated values
The value obtained for the volume is 157.13 Å³ per cell. The calculation puts the spin magnetization at 0.00 μB/f.u.

--- B ---
This record from Alexandria via LeMat-Bulk describes a geometry-optimized BSb2TeAs structure. The functional is PBE.

Unit cell a=4.876 b=4.876 c=4.779 alpha=90.00 beta=90.00 gamma=90.00
Positions (direct):
B: 0.000 0.000 0.000
Sb: 0.000 0.500 0.000
Sb: 0.500 0.000 0.000
Te: 0.000 0.000 0.500
As: 0.500 0.500 0.500

Calculated values
The value obtained for the volume is 113.64 Å³ per cell. The calculation puts the spin magnetization at 0.00 μB/f.u.

It is B that is most stable; the runner-up trails by 0.726 eV/atom.

--- A ---
This record from Alexandria via LeMat-Bulk describes a geometry-optimized ScBAs3 structure. The functional is PBE.

Unit cell a=4.459 b=4.459 c=4.459 alpha=90.00 beta=90.00 gamma=90.00
Positions (direct):
Sc: 0.000 0.000 0.000
B: 0.500 0.500 0.500
As: 0.000 0.500 0.500
As: 0.500 0.000 0.500
As: 0.500 0.500 0.000

Calculated values
The value obtained for the volume is 88.69 Å³ per cell. The calculation puts the spin magnetization at 0.00 μB/f.u.

--- B ---
This record from Alexandria via LeMat-Bulk describes a geometry-optimized ScBAs3 structure. The functional is PBE.

Unit cell a=5.070 b=5.070 c=5.070 alpha=90.00 beta=90.00 gamma=90.00
Positions (direct):
Sc: 0.000 0.000 0.000
B: 0.500 0.500 0.500
As: 0.000 0.000 0.500
As: 0.000 0.500 0.000
As: 0.500 0.000 0.000

Calculated values
The value obtained for the volume is 130.35 Å³ per cell. The calculation puts the spin magnetization at 0.00 μB/f.u.

It is A that is most stable; the runner-up trails by 0.833 eV/atom.

--- A ---
This record from Alexandria via LeMat-Bulk describes a geometry-optimized ScBAs2Se structure. The functional is PBE.

Unit cell a=4.438 b=4.438 c=4.564 alpha=90.00 beta=90.00 gamma=90.00
Positions (direct):
Sc: 0.000 0.000 0.000
B: 0.500 0.500 0.500
As: 0.000 0.500 0.500
As: 0.500 0.000 0.500
Se: 0.500 0.500 0.000

Calculated values
The value obtained for the volume is 89.87 Å³ per cell. The calculation puts the spin magnetization at 0.00 μB/f.u.

--- B ---
This record from Alexandria via LeMat-Bulk describes a geometry-optimized ScBAs2Se structure. The functional is PBE.

Unit cell a=5.108 b=5.108 c=5.104 alpha=90.00 beta=90.00 gamma=90.00
Positions (direct):
Sc: 0.000 0.000 0.000
B: 0.500 0.500 0.500
As: 0.000 0.500 0.000
As: 0.500 0.000 0.000
Se: 0.000 0.000 0.500

Calculated values
The value obtained for the volume is 133.14 Å³ per cell. The calculation puts the spin magnetization at 0.00 μB/f.u.

It is A that is most stable; the runner-up trails by 0.729 eV/atom.

--- A ---
This record from Alexandria via LeMat-Bulk describes a geometry-optimized ScBAsSe2 structure. The functional is PBE.

Unit cell a=4.658 b=4.658 c=4.216 alpha=90.00 beta=90.00 gamma=90.00
Positions (direct):
Sc: 0.000 0.000 0.000
B: 0.500 0.500 0.500
As: 0.500 0.500 0.000
Se: 0.000 0.500 0.500
Se: 0.500 0.000 0.500

Calculated values
The value obtained for the volume is 91.46 Å³ per cell. The calculation puts the spin magnetization at 0.00 μB/f.u.

--- B ---
This record from Alexandria via LeMat-Bulk describes a geometry-optimized ScBAsSe2 structure. The functional is PBE.

Unit cell a=5.121 b=5.121 c=5.150 alpha=90.00 beta=90.00 gamma=90.00
Positions (direct):
Sc: 0.000 0.000 0.000
B: 0.500 0.500 0.500
As: 0.000 0.000 0.500
Se: 0.000 0.500 0.000
Se: 0.500 0.000 0.000

Calculated values
The value obtained for the volume is 135.04 Å³ per cell. The calculation puts the spin magnetization at 0.00 μB/f.u.

It is A that is most stable; the runner-up trails by 0.652 eV/atom.

--- A ---
This record from Alexandria via LeMat-Bulk describes a geometry-optimized BAsSe2 structure. The functional is PBE.

Unit cell a=8.137 b=8.137 c=8.137 alpha=23.27 beta=23.27 gamma=23.27
Positions (direct):
B: 0.000 0.000 0.000
As: 0.500 0.500 0.500
Se: 0.387 0.387 0.387
Se: 0.613 0.613 0.613

Calculated values
The value obtained for the volume is 73.81 Å³ per cell. The calculation puts the spin magnetization at 0.00 μB/f.u.

--- B ---
This record from Alexandria via LeMat-Bulk describes a geometry-optimized BAsSe2 structure. The functional is PBE.

Unit cell a=4.646 b=4.646 c=4.646 alpha=60.00 beta=60.00 gamma=60.00
Positions (direct):
B: 0.000 0.000 0.000
As: 0.500 0.500 0.500
Se: 0.250 0.250 0.250
Se: 0.750 0.750 0.750

Calculated values
The value obtained for the volume is 70.91 Å³ per cell. The calculation puts the spin magnetization at 0.00 μB/f.u.

It is A that is most stable; the runner-up trails by 0.641 eV/atom.

--- A ---
This record from Alexandria via LeMat-Bulk describes a geometry-optimized SiBAsSe2 structure. The functional is PBE.

Unit cell a=4.440 b=4.440 c=4.454 alpha=90.00 beta=90.00 gamma=90.00
Positions (direct):
Si: 0.000 0.000 0.000
B: 0.500 0.500 0.500
As: 0.500 0.500 0.000
Se: 0.000 0.500 0.500
Se: 0.500 0.000 0.500

Calculated values
The value obtained for the volume is 87.78 Å³ per cell. The calculation puts the spin magnetization at 0.00 μB/f.u.

--- B ---
This record from Alexandria via LeMat-Bulk describes a geometry-optimized SiBAsSe2 structure. The functional is PBE.

Unit cell a=4.834 b=4.834 c=4.749 alpha=90.00 beta=90.00 gamma=90.00
Positions (direct):
Si: 0.000 0.000 0.000
B: 0.500 0.500 0.500
As: 0.000 0.000 0.500
Se: 0.000 0.500 0.000
Se: 0.500 0.000 0.000

Calculated values
The value obtained for the volume is 110.97 Å³ per cell. The calculation puts the spin magnetization at 0.00 μB/f.u.

It is A that is most stable; the runner-up trails by 0.457 eV/atom.

--- A ---
This record from Alexandria via LeMat-Bulk describes a geometry-optimized SiBAs2Se structure. The functional is PBE.

Unit cell a=4.415 b=4.415 c=4.452 alpha=90.00 beta=90.00 gamma=90.00
Positions (direct):
Si: 0.000 0.000 0.000
B: 0.500 0.500 0.500
As: 0.000 0.500 0.500
As: 0.500 0.000 0.500
Se: 0.500 0.500 0.000

Calculated values
The value obtained for the volume is 86.77 Å³ per cell. The calculation puts the spin magnetization at 0.00 μB/f.u.

--- B ---
This record from Alexandria via LeMat-Bulk describes a geometry-optimized SiBAs2Se structure. The functional is PBE.

Unit cell a=4.747 b=4.747 c=4.825 alpha=90.00 beta=90.00 gamma=90.00
Positions (direct):
Si: 0.000 0.000 0.000
B: 0.500 0.500 0.500
As: 0.000 0.500 0.000
As: 0.500 0.000 0.000
Se: 0.000 0.000 0.500

Calculated values
The value obtained for the volume is 108.75 Å³ per cell. The calculation puts the spin magnetization at 0.00 μB/f.u.

It is A that is most stable; the runner-up trails by 0.518 eV/atom.

--- A ---
This record from Alexandria via LeMat-Bulk describes a geometry-optimized SnBAs2Se structure. The functional is PBE.

Unit cell a=4.526 b=4.526 c=4.636 alpha=90.00 beta=90.00 gamma=90.00
Positions (direct):
Sn: 0.000 0.000 0.000
B: 0.500 0.500 0.500
As: 0.000 0.500 0.500
As: 0.500 0.000 0.500
Se: 0.500 0.500 0.000

Calculated values
The value obtained for the volume is 94.95 Å³ per cell. The calculation puts the spin magnetization at 0.00 μB/f.u.

--- B ---
This record from Alexandria via LeMat-Bulk describes a geometry-optimized SnBAs2Se structure. The functional is PBE.

Unit cell a=5.256 b=5.256 c=5.315 alpha=90.00 beta=90.00 gamma=90.00
Positions (direct):
Sn: 0.000 0.000 0.000
B: 0.500 0.500 0.500
As: 0.000 0.500 0.000
As: 0.500 0.000 0.000
Se: 0.000 0.000 0.500

Calculated values
The value obtained for the volume is 146.83 Å³ per cell. The calculation puts the spin magnetization at 0.69 μB/f.u.

It is A that is most stable; the runner-up trails by 1.042 eV/atom.